[1]
The following is a GGA-PBE calculation of Tm3BiRu after structural relaxation, from the Alexandria database.

Results
Energy (eV per atom): -5.83
Formation energy (eV/atom): -0.52
Calculated volume (Å³/atom): 26.87

```
data_Tm3BiRu
_chemical_formula_sum 'Tm6 Bi2 Ru2'
_cell_length_a 8.0455
_cell_length_b 4.3218
_cell_length_c 8.3714
_cell_angle_alpha 90.00
_cell_angle_beta 112.64
_cell_angle_gamma 90.00
_space_group_name_H-M_alt 'P 1 21/m 1'
_space_group_IT_number 11
loop_
_space_group_symop_operation_xyz
'x,y,z'
'-x,-y,-z'
'-x,y+1/2,-z'
'x,-y+1/2,z'
loop_
_atom_site_label
_atom_site_fract_x
_atom_site_fract_y
_atom_site_fract_z
Tm1 0.0350 0.2500 0.2454
Tm2 0.3132 0.7500 0.5932
Tm3 0.3320 0.2500 0.9258
Bi1 0.3300 0.7500 0.2085
Ru1 0.0824 0.2500 0.6076
```



[2]
The following is a GGA-PBE calculation of HfNb2Fe after structural relaxation, from the Alexandria database.

Results
Energy (eV per atom): -9.32
Energy above the lowest structure with this stoichiometry (meV/atom): 400.6
Formation energy (eV/atom): 0.32
Calculated volume (Å³/atom): 18.26

```
data_HfNb2Fe
_chemical_formula_sum 'Hf4 Nb8 Fe4'
_cell_length_a 7.3785
_cell_length_b 7.3785
_cell_length_c 5.3651
_cell_angle_alpha 90.00
_cell_angle_beta 90.00
_cell_angle_gamma 90.00
_space_group_name_H-M_alt 'I -4 2 d'
_space_group_IT_number 122
_space_group_name_Hall 'I -4 2bw'
loop_
_atom_site_label
_atom_site_fract_x
_atom_site_fract_y
_atom_site_fract_z
Hf1 0.0000 0.0000 0.0000
Nb1 0.1973 0.2500 0.6250
Fe1 0.0000 0.0000 0.5000
```



[3]
The following is a GGA-PBE calculation of MgTlFe2Sb after structural relaxation, from the Alexandria database.

Results
Energy (eV per atom): -4.19
Formation energy from raw total energies (eV per formula unit): 4.1
Calculated volume (Å³/atom): 25.22

```
data_MgTlFe2Sb
_chemical_formula_sum 'Mg1 Tl1 Fe2 Sb1'
_cell_length_a 4.8666
_cell_length_b 4.8666
_cell_length_c 5.3242
_cell_angle_alpha 90.00
_cell_angle_beta 90.00
_cell_angle_gamma 90.00
_space_group_name_H-M_alt 'P 4/m m m'
_space_group_IT_number 123
_space_group_name_Hall '-P 4 2'
loop_
_atom_site_label
_atom_site_fract_x
_atom_site_fract_y
_atom_site_fract_z
Mg1 0.0000 0.0000 0.0000
Tl1 0.5000 0.5000 0.0000
Fe1 0.0000 0.5000 0.5000
Sb1 0.0000 0.0000 0.5000
```



[4]
The following is a GGA-PBE calculation of Rb2BeHgAs after structural relaxation, from the Alexandria database.

Results
Energy (eV per atom): -2.21
Formation energy (eV/atom): -0.09
Calculated volume (Å³/atom): 36.99

```
data_Rb2BeHgAs
_chemical_formula_sum 'Rb2 Be1 Hg1 As1'
_cell_length_a 6.7535
_cell_length_b 6.7535
_cell_length_c 4.0552
_cell_angle_alpha 90.00
_cell_angle_beta 90.00
_cell_angle_gamma 90.00
_space_group_name_H-M_alt 'P 4/m m m'
_space_group_IT_number 123
_space_group_name_Hall '-P 4 2'
loop_
_atom_site_label
_atom_site_fract_x
_atom_site_fract_y
_atom_site_fract_z
Rb1 0.0000 0.5000 0.0000
Be1 0.0000 0.0000 0.0000
Hg1 0.5000 0.5000 0.5000
As1 0.0000 0.0000 0.5000
```



[5]
The following is a GGA-PBE calculation of Li3Mg after structural relaxation, from the Alexandria database.

Results
Energy (eV per atom): -1.86
Formation energy (eV/atom): -0.03
Calculated volume (Å³/atom): 20.12

```
data_Li3Mg
_chemical_formula_sum 'Li12 Mg4'
_cell_length_a 4.2691
_cell_length_b 4.2691
_cell_length_c 17.6667
_cell_angle_alpha 90.00
_cell_angle_beta 90.00
_cell_angle_gamma 90.00
_space_group_name_H-M_alt 'I 4/m m m'
_space_group_IT_number 139
_space_group_name_Hall '-I 4 2'
loop_
_atom_site_label
_atom_site_fract_x
_atom_site_fract_y
_atom_site_fract_z
Li1 0.0000 0.0000 0.1265
Li2 0.0000 0.5000 0.0000
Li3 0.0000 0.5000 0.2500
Mg1 0.0000 0.0000 0.3758
```



[6]
The following is a GGA-PBE calculation of ZnAgRu2 after structural relaxation, from the Alexandria database.

Results
Energy (eV per atom): -5.25
Formation energy (eV/atom): 0.42
Calculated volume (Å³/atom): 15.17

```
data_ZnAgRu2
_chemical_formula_sum 'Zn1 Ag1 Ru2'
_cell_length_a 2.7222
_cell_length_b 2.7222
_cell_length_c 8.1867
_cell_angle_alpha 90.00
_cell_angle_beta 90.00
_cell_angle_gamma 90.00
_space_group_name_H-M_alt 'P 4/m m m'
_space_group_IT_number 123
_space_group_name_Hall '-P 4 2'
loop_
_atom_site_label
_atom_site_fract_x
_atom_site_fract_y
_atom_site_fract_z
Zn1 0.0000 0.0000 0.0000
Ag1 0.0000 0.0000 0.5000
Ru1 0.5000 0.5000 0.2331
```



[7]
The following is a GGA-PBE calculation of CsZrNb2Tl after structural relaxation, from the Alexandria database.

Results
Energy (eV per atom): -4.72
Formation energy (eV/atom): 1.66
Calculated volume (Å³/atom): 33.79

```
data_CsZrNb2Tl
_chemical_formula_sum 'Cs1 Zr1 Nb2 Tl1'
_cell_length_a 5.0690
_cell_length_b 5.0690
_cell_length_c 6.5757
_cell_angle_alpha 90.00
_cell_angle_beta 90.00
_cell_angle_gamma 90.00
_space_group_name_H-M_alt 'P 4/m m m'
_space_group_IT_number 123
_space_group_name_Hall '-P 4 2'
loop_
_atom_site_label
_atom_site_fract_x
_atom_site_fract_y
_atom_site_fract_z
Cs1 0.0000 0.0000 0.0000
Zr1 0.0000 0.0000 0.5000
Nb1 0.0000 0.5000 0.5000
Tl1 0.5000 0.5000 0.0000
```



[8]
The following is a GGA-PBE calculation of PrYCo2 after structural relaxation, from the Alexandria database.

Results
Energy (eV per atom): -6.36
Energy above the lowest structure with this stoichiometry (meV/atom): 103.6
Formation energy (eV/atom): 0.00
Calculated volume (Å³/atom): 20.12

```
data_PrYCo2
_chemical_formula_sum 'Pr4 Y4 Co8'
_cell_length_a 6.8539
_cell_length_b 6.8539
_cell_length_c 6.8539
_cell_angle_alpha 90.00
_cell_angle_beta 90.00
_cell_angle_gamma 90.00
_space_group_name_H-M_alt 'F m -3 m'
_space_group_IT_number 225
_space_group_name_Hall '-F 4 2 3'
loop_
_atom_site_label
_atom_site_fract_x
_atom_site_fract_y
_atom_site_fract_z
Pr1 0.0000 0.0000 0.0000
Y1 0.0000 0.0000 0.5000
Co1 0.2500 0.2500 0.2500
```



[9]
The following is a GGA-PBE calculation of AlC2 after structural relaxation, from the Alexandria database.

Results
Energy (eV per atom): -6.49
Energy above the lowest structure with this stoichiometry (meV/atom): 623.1
Formation energy (eV/atom): 0.91
Calculated volume (Å³/atom): 14.30

```
data_AlC2
_chemical_formula_sum 'Al4 C8'
_cell_length_a 4.6675
_cell_length_b 5.8947
_cell_length_c 6.2381
_cell_angle_alpha 90.00
_cell_angle_beta 90.00
_cell_angle_gamma 90.00
_space_group_name_H-M_alt 'C m c m'
_space_group_IT_number 63
_space_group_name_Hall '-C 2c 2'
loop_
_atom_site_label
_atom_site_fract_x
_atom_site_fract_y
_atom_site_fract_z
Al1 0.0000 0.0429 0.2500
C1 0.1377 0.3855 0.2500
```



[10]
The following is a GGA-PBE calculation of AcNd2Tm3 after structural relaxation, from the Alexandria database.

Results
Energy (eV per atom): -4.40
Formation energy (eV/atom): 0.11
Calculated volume (Å³/atom): 34.18

```
data_AcNd2Tm3
_chemical_formula_sum 'Ac4 Nd8 Tm12'
_cell_length_a 9.1661
_cell_length_b 10.0140
_cell_length_c 9.1247
_cell_angle_alpha 90.00
_cell_angle_beta 101.67
_cell_angle_gamma 90.00
_space_group_name_H-M_alt 'C 1 2/c 1'
_space_group_IT_number 15
loop_
_space_group_symop_operation_xyz
'x,y,z'
'-x,-y,-z'
'-x,y,-z+1/2'
'x,-y,z+1/2'
'x+1/2,y+1/2,z'
'-x+1/2,-y+1/2,-z'
'-x+1/2,y+1/2,-z+1/2'
'x+1/2,-y+1/2,z+1/2'
loop_
_atom_site_label
_atom_site_fract_x
_atom_site_fract_y
_atom_site_fract_z
Ac1 0.0000 0.0855 0.2500
Nd1 0.1227 0.2542 0.6265
Tm1 0.0000 0.4260 0.2500
Tm2 0.2399 0.4125 0.9997
```



[11]
The following is a GGA-PBE calculation of PrHoLuSc after structural relaxation, from the Alexandria database.

Results
Energy (eV per atom): -4.96
Formation energy (eV/atom): 0.09
Calculated volume (Å³/atom): 30.27

```
data_PrHoLuSc
_chemical_formula_sum 'Pr4 Ho4 Lu4 Sc4'
_cell_length_a 7.8532
_cell_length_b 7.8532
_cell_length_c 7.8532
_cell_angle_alpha 90.00
_cell_angle_beta 90.00
_cell_angle_gamma 90.00
_space_group_name_H-M_alt 'F -4 3 m'
_space_group_IT_number 216
_space_group_name_Hall 'F -4 2 3'
loop_
_atom_site_label
_atom_site_fract_x
_atom_site_fract_y
_atom_site_fract_z
Pr1 0.0000 0.0000 0.0000
Ho1 0.0000 0.0000 0.5000
Lu1 0.2500 0.2500 0.2500
Sc1 0.2500 0.2500 0.7500
```



[12]
The following is a GGA-PBE calculation of CsTeCl4 after structural relaxation, from the Alexandria database.

Results
Energy (eV per atom): -2.93
Formation energy from raw total energies (eV per formula unit): -6.2
Calculated volume (Å³/atom): 37.85

```
data_CsTeCl4
_chemical_formula_sum 'Cs4 Te4 Cl16'
_cell_length_a 9.8605
_cell_length_b 14.2959
_cell_length_c 7.8264
_cell_angle_alpha 90.00
_cell_angle_beta 124.57
_cell_angle_gamma 90.00
_space_group_name_H-M_alt 'C 1 2/c 1'
_space_group_IT_number 15
loop_
_space_group_symop_operation_xyz
'x,y,z'
'-x,-y,-z'
'-x,y,-z+1/2'
'x,-y,z+1/2'
'x+1/2,y+1/2,z'
'-x+1/2,-y+1/2,-z'
'-x+1/2,y+1/2,-z+1/2'
'x+1/2,-y+1/2,z+1/2'
loop_
_atom_site_label
_atom_site_fract_x
_atom_site_fract_y
_atom_site_fract_z
Cs1 0.0000 0.1285 0.2500
Te1 0.0000 0.4083 0.7500
Cl1 0.1472 0.2807 0.6922
Cl2 0.1877 0.4686 0.2425
```